# Fe2CoNi

A relaxed structure of Fe2CoNi (PBE-GGA, Alexandria via LeMat-Bulk).

a b c (Å): 4.3087 4.3087 4.3087
angles (deg): 130.36 130.36 72.83
Closest atoms and distances in Å follow each position.
Fractional positions:
Fe 0.2500 0.7500 0.5000  4 Co 2.51, 4 Ni 2.51, 4 Fe 2.56
Fe 0.7500 0.2500 0.5000  4 Co 2.51, 4 Ni 2.51, 4 Fe 2.56
Co 0.0000 0.0000 0.0000  8 Fe 2.51, 4 Ni 2.56
Ni 0.5000 0.5000 0.0000  8 Fe 2.51, 4 Co 2.56

Summary:
Energy relative to the elements   -1.04 kJ/mol of atoms
Electronic total energy   -7.4640 eV/atom
Distance to the lowest polymorph of the same formula   0.00 eV/f.u.
Total magnetization   7.32 μB/f.u.